VASP calculation (PBE) on crystalline UZn2PbO8 at its relaxed geometry.

```
data_UZn2PbO8
_cell_length_a 6.7265
_cell_length_b 6.7265
_cell_length_c 7.1673
_cell_angle_alpha 90.00
_cell_angle_beta 90.00
_cell_angle_gamma 90.00
_space_group_name_H-M_alt 'I -4 m 2'
_space_group_IT_number 119
_space_group_name_Hall 'I -4 -2'
loop_
_atom_site_label
_atom_site_type_symbol
_atom_site_fract_x
_atom_site_fract_y
_atom_site_fract_z
U1 U 0.0000 0.0000 0.0000
Zn1 Zn 0.0000 0.0000 0.5000
Zn2 Zn 0.0000 0.5000 0.2500
Pb1 Pb 0.0000 0.5000 0.7500
O1 O 0.0000 0.1821 0.7079
O2 O 0.0000 0.2983 0.0539
```

Calculated values
As for the uncorrected formation energy: -1441 meV/atom. The calculated density is 7210 kg/m³.

=====

VASP calculation (PBE) on crystalline Pm7Al2Zn2 at its relaxed geometry.

```
data_Pm7Al2Zn2
_cell_length_a 7.7762
_cell_length_b 11.0967
_cell_length_c 7.5971
_cell_angle_alpha 90.00
_cell_angle_beta 90.00
_cell_angle_gamma 90.00
_space_group_name_H-M_alt 'C m m m'
_space_group_IT_number 65
_space_group_name_Hall '-C 2 2'
loop_
_atom_site_label
_atom_site_type_symbol
_atom_site_fract_x
_atom_site_fract_y
_atom_site_fract_z
Pm1 Pm 0.0000 0.0000 0.0000
Pm2 Pm 0.0000 0.5000 0.2565
Pm3 Pm 0.2500 0.2500 0.2845
Al1 Al 0.1668 0.0000 0.5000
Zn1 Zn 0.0000 0.2879 0.0000
```

Calculated values
The formation energy is -0.008 eV/atom. The calculated density is 6078 kg/m³.

=====

VASP calculation (PBE) on crystalline V2CuNiPt5 at its relaxed geometry.

```
data_V2CuNiPt5
_cell_length_a 7.1560
_cell_length_b 7.1560
_cell_length_c 10.7536
_cell_angle_alpha 90.00
_cell_angle_beta 90.00
_cell_angle_gamma 90.00
_space_group_name_H-M_alt 'I 4/m c m'
_space_group_IT_number 140
_space_group_name_Hall '-I 4 2c'
loop_
_atom_site_label
_atom_site_type_symbol
_atom_site_fract_x
_atom_site_fract_y
_atom_site_fract_z
V1 V 0.1047 0.3953 0.0000
Cu1 Cu 0.0000 0.0000 0.2500
Ni1 Ni 0.0000 0.5000 0.2500
Pt1 Pt 0.0000 0.0000 0.0000
Pt2 Pt 0.2044 0.2956 0.3678
```

Calculated values
The formation energy is 0.023 eV/atom. The calculated density is 14469 kg/m³.

=====

Here are the calculated final energy numbers, same order: -6.209, -3.943, -6.456 (eV/atom).